No. 1
Below is a geometry-optimized Ac3GaNi2 structure, with properties calculated at the GGA-PBE level.

Unit cell a=7.6953 b=7.6953 c=7.6953 alpha=63.88 beta=63.88 gamma=63.88
Closest atoms and distances in Å follow each position.
Atoms (fractional coordinates):
1 Ac 0.4635 0.0365 0.7500  4 Ni 3.06-3.16, 2 Ga 3.30
2 Ac 0.0365 0.7500 0.4635  4 Ni 3.06-3.16, 2 Ga 3.30
3 Ac 0.7500 0.4635 0.0365  4 Ni 3.06-3.16, 2 Ga 3.30
4 Ac 0.5365 0.9635 0.2500  4 Ni 3.06-3.16, 2 Ga 3.30
5 Ac 0.9635 0.2500 0.5365  4 Ni 3.06-3.16, 2 Ga 3.30
6 Ac 0.2500 0.5365 0.9635  4 Ni 3.06-3.16, 2 Ga 3.30
7 Ga 0.5000 0.5000 0.5000  2 Ni 2.43
8 Ga 0.0000 0.0000 0.0000  2 Ni 2.43
9 Ni 0.3669 0.3669 0.3669  1 Ga 2.43
10 Ni 0.1331 0.1331 0.1331  1 Ga 2.43
11 Ni 0.8669 0.8669 0.8669  1 Ga 2.43
12 Ni 0.6331 0.6331 0.6331  1 Ga 2.43

Formation energy from the elements in eV/atom: -0.244
E above lowest polymorph in meV per atom: 58
Calculated total energy in eV/atom: -4.730

***

No. 2
Below is a geometry-optimized CaPm5Au6 structure, with properties calculated at the GGA-PBE level.

Unit cell a=5.2190 b=7.3589 c=9.0227 alpha=65.93 beta=73.36 gamma=90.00
Closest atoms and distances in Å follow each position.
Atoms (fractional coordinates):
1 Ca 0.0000 0.0000 0.0000  8 Au 3.24-3.26, 2 Pm 3.62
2 Au 0.8303 0.5734 0.3403  7 Pm 3.15-3.23, 1 Ca 3.26
3 Au 0.8303 0.0863 0.3403  7 Pm 3.15-3.23, 1 Ca 3.26
4 Au 0.5000 0.7391 0.0000  6 Pm 3.15-3.17, 2 Ca 3.24, 1 Au 3.52
5 Au 0.5000 0.2609 0.0000  6 Pm 3.15-3.17, 2 Ca 3.24, 1 Au 3.52
6 Au 0.1697 0.9137 0.6597  7 Pm 3.15-3.23, 1 Ca 3.26
7 Au 0.1697 0.4266 0.6597  7 Pm 3.15-3.23, 1 Ca 3.26
8 Pm 0.6611 0.1610 0.6780  8 Au 3.17-3.23
9 Pm 0.3320 0.3315 0.3370  8 Au 3.15-3.17
10 Pm 0.0000 0.5000 0.0000  8 Au 3.15-3.21
11 Pm 0.6680 0.6685 0.6630  8 Au 3.15-3.17
12 Pm 0.3389 0.8390 0.3220  8 Au 3.17-3.23

Formation energy from the elements in eV/atom: -0.793
Calculated total energy in eV/atom: -4.578

***

No. 3
Below is a geometry-optimized LaSm5Tm2Sc structure, with properties calculated at the GGA-PBE level.

Unit cell a=5.6368 b=10.3768 c=10.4546 alpha=90.00 beta=90.00 gamma=105.76
Closest atoms and distances in Å follow each position.
Atoms (fractional coordinates):
1 La 0.5862 0.1724 0.9540  5 Sm 3.03-3.30
2 La 0.4138 0.8276 0.4540  5 Sm 3.03-3.30
3 Sm 0.3758 0.7517 0.0199  4 Tm 3.56-3.61, 1 Sc 3.60, 4 Sm 3.62-3.72
4 Sm 0.7229 0.4459 0.8218  1 La 3.06, 1 Tm 3.30, 2 Sm 3.41
5 Sm 0.4834 0.9668 0.7406  2 La 3.03-3.30
6 Sm 0.2979 0.5958 0.7066  4 Sm 3.41-3.72, 3 Sc 3.47-3.81, 1 La 3.51, 3 Tm 3.52-3.66
7 Sm 0.9820 0.9639 0.5193  2 La 3.20, 3 Tm 3.38-3.55, 1 Sc 3.55
8 Sm 0.6242 0.2483 0.5199  4 Tm 3.56-3.61, 1 Sc 3.60, 4 Sm 3.62-3.72
9 Sm 0.2771 0.5541 0.3218  1 La 3.06, 1 Tm 3.30, 2 Sm 3.41
10 Sm 0.5166 0.0332 0.2406  2 La 3.03-3.30
11 Sm 0.7021 0.4042 0.2066  4 Sm 3.41-3.72, 3 Sc 3.47-3.81, 1 La 3.51, 3 Tm 3.52-3.66
12 Sm 0.0180 0.0361 0.0193  2 La 3.20, 3 Tm 3.38-3.55, 1 Sc 3.55
13 Tm 0.8879 0.7758 0.8126  9 Sm 3.30-3.60, 1 Sc 3.54
14 Tm 0.1151 0.2303 0.7352  1 Sc 3.33, 7 Sm 3.49-3.66, 2 La 3.68
15 Tm 0.1121 0.2242 0.3126  9 Sm 3.30-3.60, 1 Sc 3.54
16 Tm 0.8849 0.7697 0.2352  1 Sc 3.33, 7 Sm 3.49-3.66, 2 La 3.68
17 Sc 0.8044 0.6088 0.5139  2 Tm 3.33-3.54, 7 Sm 3.47-3.61, 2 La 3.62
18 Sc 0.1956 0.3912 0.0139  2 Tm 3.33-3.54, 7 Sm 3.47-3.61, 2 La 3.62

Formation energy from the elements in eV/atom: 0.172
Calculated total energy in eV/atom: -4.695

***

No. 4
Below is a geometry-optimized Ce3TmTh2P6 structure, with properties calculated at the GGA-PBE level.

Unit cell a=7.0842 b=7.0842 c=7.0891 alpha=99.60 beta=99.60 gamma=120.00
Closest atoms and distances in Å follow each position.
Atoms (fractional coordinates):
1 Ce 0.1675 0.8325 0.5000  6 P 2.88-2.93
2 Ce 0.8325 0.1675 0.5000  6 P 2.88-2.93
3 Ce 0.5000 0.5000 0.5000  6 P 2.88-2.93
4 Tm 0.0000 0.0000 0.0000  6 P 2.85-2.86
5 Th 0.3337 0.6663 0.0000  6 P 2.91
6 Th 0.6663 0.3337 0.0000  6 P 2.91
7 P 0.9173 0.5900 0.7514  1 Tm 2.85, 3 Ce 2.88-2.93, 2 Th 2.91
8 P 0.7564 0.7564 0.2500  1 Tm 2.86, 3 Ce 2.88-2.93, 2 Th 2.91
9 P 0.0827 0.4100 0.2486  1 Tm 2.85, 3 Ce 2.88-2.93, 2 Th 2.91
10 P 0.5900 0.9173 0.7514  1 Tm 2.85, 3 Ce 2.88-2.93, 2 Th 2.91
11 P 0.2436 0.2436 0.7500  1 Tm 2.86, 3 Ce 2.88-2.93, 2 Th 2.91
12 P 0.4100 0.0827 0.2486  1 Tm 2.85, 3 Ce 2.88-2.93, 2 Th 2.91

Formation energy from the elements in eV/atom: -1.539
Calculated total energy in eV/atom: -7.337

***

No. 5
Below is a geometry-optimized BaMnTe2 structure, with properties calculated at the GGA-PBE level.

Unit cell a=4.4741 b=4.4741 c=7.7346 alpha=90.02 beta=90.02 gamma=60.03
Closest atoms and distances in Å follow each position.
Atoms (fractional coordinates):
1 Ba 0.3751 0.3751 0.7500  6 Te 3.48-3.49, 2 Mn 3.87
2 Mn 0.3749 0.3749 0.2500  6 Te 3.00
3 Te 0.0418 0.0418 0.0524  3 Mn 3.00
4 Te 0.7083 0.7083 0.4476  3 Mn 3.00

Calculated total energy in eV/atom: -5.151

***

No. 6
Below is a geometry-optimized Pr3AsPb structure, with properties calculated at the GGA-PBE level.

Unit cell a=4.4763 b=8.8773 c=15.9503 alpha=90.00 beta=90.00 gamma=90.00
Closest atoms and distances in Å follow each position.
Atoms (fractional coordinates):
1 Pr 0.2500 0.3493 0.5255  2 As 2.97
2 Pr 0.7500 0.8242 0.2167  1 As 2.87
3 Pr 0.7500 0.5202 0.8921  3 As 2.97-2.99
4 Pr 0.7500 0.0202 0.6079  3 As 2.97-2.99
5 Pr 0.7500 0.6507 0.4745  2 As 2.97
6 Pr 0.2500 0.9798 0.3921  3 As 2.97-2.99
7 Pr 0.2500 0.8493 0.9745  2 As 2.97
8 Pr 0.7500 0.3242 0.2833  1 As 2.87
9 Pr 0.2500 0.6758 0.7167  1 As 2.87
10 Pr 0.2500 0.1758 0.7833  1 As 2.87
11 Pr 0.7500 0.1507 0.0255  2 As 2.97
12 Pr 0.2500 0.4798 0.1079  3 As 2.97-2.99
13 As 0.2500 0.3174 0.9453  6 Pr 2.87-2.99
14 As 0.2500 0.8174 0.5547  6 Pr 2.87-2.99
15 As 0.7500 0.1826 0.4453  6 Pr 2.87-2.99
16 As 0.7500 0.6826 0.0547  6 Pr 2.87-2.99
17 Pb 0.7500 0.8990 0.8170  8 Pr 3.37-3.57
18 Pb 0.2500 0.1010 0.1830  8 Pr 3.37-3.57
19 Pb 0.7500 0.3990 0.6830  8 Pr 3.37-3.57
20 Pb 0.2500 0.6010 0.3170  8 Pr 3.37-3.57

Formation energy from the elements in eV/atom: -0.856
Calculated total energy in eV/atom: -5.395

***

No. 7
Below is a geometry-optimized PmSnSb structure, with properties calculated at the GGA-PBE level.

Unit cell a=3.6610 b=5.2353 c=5.2353 alpha=120.00 beta=90.00 gamma=90.00
Closest atoms and distances in Å follow each position.
Atoms (fractional coordinates):
1 Sb 0.5013 0.6667 0.3333  3 Sn 3.02
2 Sn 0.4989 0.3333 0.6667  3 Sb 3.02
3 Pm 0.9997 0.0000 0.0000  6 Sb 3.53-3.54, 6 Sn 3.53-3.54, 2 Pm 3.66

E above lowest polymorph in meV per atom: 70
Calculated total energy in eV/atom: -4.711

***

No. 8
Below is a geometry-optimized Li4Hf3ZrS8 structure, with properties calculated at the GGA-PBE level.

Unit cell a=7.1630 b=7.5250 c=7.1631 alpha=118.42 beta=120.00 gamma=90.00
Closest atoms and distances in Å follow each position.
Atoms (fractional coordinates):
1 Li 0.5000 0.0000 0.0000  6 S 2.58
2 Li 0.5000 0.0000 0.5000  6 S 2.61
3 Li 0.0000 0.0000 0.0000  6 S 2.61
4 Li 0.0000 0.0000 0.5000  6 S 2.61
5 Hf 0.5000 0.5000 0.0000  6 S 2.58
6 Hf 0.5000 0.5000 0.5000  6 S 2.58
7 Hf 0.0000 0.5000 0.5000  6 S 2.58
8 Zr 0.0000 0.5000 0.0000  6 S 2.62
9 S 0.2520 0.7493 0.9973  3 Li 2.58-2.61, 2 Hf 2.58, 1 Zr 2.62
10 S 0.2520 0.7493 0.5039  3 Li 2.58-2.61, 2 Hf 2.58, 1 Zr 2.62
11 S 0.2512 0.2536 0.5024  3 Hf 2.58, 3 Li 2.61
12 S 0.7454 0.7493 0.9973  3 Li 2.58-2.61, 2 Hf 2.58, 1 Zr 2.62
13 S 0.2546 0.2507 0.0027  3 Li 2.58-2.61, 2 Hf 2.58, 1 Zr 2.62
14 S 0.7488 0.7464 0.4976  3 Hf 2.58, 3 Li 2.61
15 S 0.7480 0.2507 0.4961  3 Li 2.58-2.61, 2 Hf 2.58, 1 Zr 2.62
16 S 0.7480 0.2507 0.0027  3 Li 2.58-2.61, 2 Hf 2.58, 1 Zr 2.62

Calculated total energy in eV/atom: -6.454

***

No. 9
Below is a geometry-optimized TaN3F6 structure, with properties calculated at the GGA-PBE level.

Unit cell a=6.7245 b=6.5752 c=8.5565 alpha=112.86 beta=83.98 gamma=134.07
Closest atoms and distances in Å follow each position.
Atoms (fractional coordinates):
1 Ta 0.0000 0.0000 0.0000  6 F 1.89-2.02
2 N 0.5000 0.0000 0.0000  2 F 1.79
3 N 0.0000 0.0000 0.5000  4 F 3.24-3.42, 2 N 3.29
4 N 0.0000 0.5000 0.5000  4 F 3.04-3.34, 2 N 3.29
5 F 0.2726 0.2860 0.2188  1 Ta 1.89
6 F 0.7274 0.7140 0.7812  1 Ta 1.89
7 F 0.2565 0.9587 0.8875  1 N 1.79
8 F 0.7435 0.0413 0.1125  1 N 1.79
9 F 0.1734 0.3415 0.9485  1 Ta 1.90
10 F 0.8266 0.6585 0.0515  1 Ta 1.90

Calculated total energy in eV/atom: -5.303

***

No. 10
Below is a geometry-optimized Ac2NpF8 structure, with properties calculated at the GGA-PBE level.

Unit cell a=4.0854 b=6.8746 c=7.0851 alpha=119.02 beta=106.76 gamma=90.00
Closest atoms and distances in Å follow each position.
Atoms (fractional coordinates):
1 Np 0.5000 0.0000 0.0000  12 F 2.67-2.93
2 Ac 0.1834 0.6834 0.3669  10 F 2.53-2.83
3 Ac 0.8166 0.3166 0.6331  10 F 2.53-2.83
4 F 0.6584 0.8785 0.3167  3 Ac 2.56-2.67, 1 Np 2.67, 5 F 2.71-2.81
5 F 0.3416 0.5618 0.6833  3 Ac 2.56-2.67, 1 Np 2.67, 5 F 2.71-2.81
6 F 0.1497 0.1497 0.2994  2 Np 2.69, 8 F 2.71-2.81, 2 Ac 2.83
7 F 0.0000 0.3058 0.0000  2 Ac 2.53, 7 F 2.67-2.76
8 F 0.8503 0.8503 0.7006  2 Np 2.69, 8 F 2.71-2.81, 2 Ac 2.83
9 F 0.6584 0.4382 0.3167  3 Ac 2.56-2.67, 1 Np 2.67, 5 F 2.71-2.81
10 F 0.3416 0.1215 0.6833  3 Ac 2.56-2.67, 1 Np 2.67, 5 F 2.71-2.81
11 F 0.0000 0.6942 0.0000  2 Ac 2.53, 7 F 2.67-2.76

Calculated total energy in eV/atom: -6.972

***

No. 11
Below is a geometry-optimized ZnGe3Ir3 structure, with properties calculated at the GGA-PBE level.

Unit cell a=7.5417 b=7.5417 c=7.5417 alpha=90.00 beta=90.00 gamma=90.00
Closest atoms and distances in Å follow each position.
Atoms (fractional coordinates):
1 Zn 0.0752 0.5752 0.9248  2 Ge 2.47-2.67, 3 Ir 2.72
2 Zn 0.9248 0.0752 0.5752  2 Ge 2.47-2.67, 3 Ir 2.72
3 Zn 0.4248 0.4248 0.4248  2 Ge 2.47-2.67, 3 Ir 2.72
4 Zn 0.5752 0.9248 0.0752  2 Ge 2.47-2.67, 3 Ir 2.72
5 Ge 0.8860 0.3860 0.1140  1 Zn 2.47, 6 Ir 2.54-2.58
6 Ge 0.9003 0.9003 0.9003  6 Ir 2.61, 3 Zn 2.79
7 Ge 0.7797 0.7203 0.2797  1 Zn 2.67, 6 Ir 2.75-2.82, 3 Ge 2.93
8 Ge 0.1140 0.8860 0.3860  1 Zn 2.47, 6 Ir 2.54-2.58
9 Ge 0.2203 0.2203 0.2203  1 Zn 2.67, 6 Ir 2.75-2.82, 3 Ge 2.93
10 Ge 0.2797 0.7797 0.7203  1 Zn 2.67, 6 Ir 2.75-2.82, 3 Ge 2.93
11 Ge 0.0997 0.4003 0.5997  6 Ir 2.61, 3 Zn 2.79
12 Ge 0.3860 0.1140 0.8860  1 Zn 2.47, 6 Ir 2.54-2.58
13 Ge 0.7203 0.2797 0.7797  1 Zn 2.67, 6 Ir 2.75-2.82, 3 Ge 2.93
14 Ge 0.6140 0.6140 0.6140  1 Zn 2.47, 6 Ir 2.54-2.58
15 Ge 0.5997 0.0997 0.4003  6 Ir 2.61, 3 Zn 2.79
16 Ge 0.4003 0.5997 0.0997  6 Ir 2.61, 3 Zn 2.79
17 Ir 0.7053 0.6177 0.9382  6 Ge 2.54-2.82, 2 Zn 2.72-2.81
18 Ir 0.8823 0.0618 0.2053  6 Ge 2.54-2.82, 2 Zn 2.72-2.81
19 Ir 0.9382 0.7053 0.6177  6 Ge 2.54-2.82, 2 Zn 2.72-2.81
20 Ir 0.1177 0.5618 0.2947  6 Ge 2.54-2.82, 2 Zn 2.72-2.81
21 Ir 0.2947 0.1177 0.5618  6 Ge 2.54-2.82, 2 Zn 2.72-2.81
22 Ir 0.2053 0.8823 0.0618  6 Ge 2.54-2.82, 2 Zn 2.72-2.81
23 Ir 0.0618 0.2053 0.8823  6 Ge 2.54-2.82, 2 Zn 2.72-2.81
24 Ir 0.3823 0.4382 0.7947  6 Ge 2.54-2.82, 2 Zn 2.72-2.81
25 Ir 0.5618 0.2947 0.1177  6 Ge 2.54-2.82, 2 Zn 2.72-2.81
26 Ir 0.6177 0.9382 0.7053  6 Ge 2.54-2.82, 2 Zn 2.72-2.81
27 Ir 0.7947 0.3823 0.4382  6 Ge 2.54-2.82, 2 Zn 2.72-2.81
28 Ir 0.4382 0.7947 0.3823  6 Ge 2.54-2.82, 2 Zn 2.72-2.81

Formation energy from the elements in eV/atom: -0.057
Calculated total energy in eV/atom: -6.015

***

No. 12
Below is a geometry-optimized Er6NiAg2 structure, with properties calculated at the GGA-PBE level.

Unit cell a=6.6838 b=7.2197 c=9.9352 alpha=90.00 beta=86.51 gamma=90.00
Closest atoms and distances in Å follow each position.
Atoms (fractional coordinates):
1 Er 0.8693 0.9852 0.2494  1 Ni 2.69, 2 Ag 2.98-3.00
2 Er 0.8158 0.6854 0.5514  1 Ni 2.62
3 Er 0.8398 0.6870 0.9448  1 Ni 2.67, 1 Ag 2.96
4 Er 0.6602 0.1870 0.5552  1 Ni 2.67, 1 Ag 2.96
5 Er 0.6842 0.1854 0.9486  1 Ni 2.62
6 Er 0.6307 0.4852 0.2506  1 Ni 2.69, 2 Ag 2.98-3.00
7 Er 0.1307 0.0148 0.7506  1 Ni 2.69, 2 Ag 2.98-3.00
8 Er 0.1842 0.3146 0.4486  1 Ni 2.62
9 Er 0.1602 0.3130 0.0552  1 Ni 2.67, 1 Ag 2.96
10 Er 0.3398 0.8130 0.4448  1 Ni 2.67, 1 Ag 2.96
11 Er 0.3158 0.8146 0.0514  1 Ni 2.62
12 Er 0.3693 0.5148 0.7494  1 Ni 2.69, 2 Ag 2.98-3.00
13 Ni 0.5000 0.5000 0.0000  6 Er 2.62-2.69
14 Ni 0.0000 0.0000 0.5000  6 Er 2.62-2.69
15 Ag 0.9440 0.3930 0.7445  7 Er 2.96-3.31
16 Ag 0.5560 0.8930 0.7555  7 Er 2.96-3.31
17 Ag 0.4440 0.1070 0.2445  7 Er 2.96-3.31
18 Ag 0.0560 0.6070 0.2555  7 Er 2.96-3.31

Formation energy from the elements in eV/atom: -0.169
E above lowest polymorph in meV per atom: 0
Calculated total energy in eV/atom: -4.487

***

no.,spin magnetization (μB per atom)
1,0.0000
2,0.0000
3,0.0000
4,0.1307
5,1.2509
6,0.1198
7,0.0000
8,0.0000
9,0.8000
10,0.4546
11,0.0000
12,0.0001